Arrangement 1

# SnSb2Te, optimized geometry, DFT GGA-PBE
# **DOS at the Fermi energy**: 1.63 states/eV/f.u.
# **Total moment**: 0.00 μB per atom
data_SnSb2Te
_chemical_formula_sum 'Sn4 Sb8 Te4'
_cell_length_a 7.754
_cell_length_b 7.754
_cell_length_c 9.600
_cell_angle_alpha 90.00
_cell_angle_beta 90.00
_cell_angle_gamma 90.00
_space_group_name_H-M_alt 'I -4 2 d'
_space_group_IT_number 122
_space_group_name_Hall 'I -4 2bw'
loop_
_atom_site_label
_atom_site_type_symbol
_atom_site_fract_x
_atom_site_fract_y
_atom_site_fract_z
Sn1 Sn 0.000 0.000 0.000
Sb1 Sb 0.236 0.250 0.125
Te1 Te 0.000 0.000 0.500


Arrangement 2

# SnSb2Te, optimized geometry, DFT GGA-PBE
# **DOS at the Fermi energy**: 2.59 states/eV/f.u.
# **Total moment**: 0.00 μB per atom
data_SnSb2Te
_chemical_formula_sum 'Sn4 Sb8 Te4'
_cell_length_a 7.631
_cell_length_b 7.631
_cell_length_c 7.631
_cell_angle_alpha 90.00
_cell_angle_beta 90.00
_cell_angle_gamma 90.00
_space_group_name_H-M_alt 'F m -3 m'
_space_group_IT_number 225
_space_group_name_Hall '-F 4 2 3'
loop_
_atom_site_label
_atom_site_type_symbol
_atom_site_fract_x
_atom_site_fract_y
_atom_site_fract_z
Sn1 Sn 0.000 0.000 0.000
Sb1 Sb 0.250 0.250 0.250
Te1 Te 0.000 0.000 0.500


Energy ordering: arrangement 2 at the bottom, the next structure 2.5 kJ/mol of atoms above.


Arrangement 1

# TiSnSbTe2, optimized geometry, DFT GGA-PBE
# **DOS at the Fermi energy**: 3.21 states/eV/f.u.
# **Total moment**: 0.00 μB per atom
data_TiSnSbTe2
_chemical_formula_sum 'Ti1 Sn1 Sb1 Te2'
_cell_length_a 5.331
_cell_length_b 5.331
_cell_length_c 5.373
_cell_angle_alpha 90.00
_cell_angle_beta 90.00
_cell_angle_gamma 90.00
_space_group_name_H-M_alt 'P 4/m m m'
_space_group_IT_number 123
_space_group_name_Hall '-P 4 2'
loop_
_atom_site_label
_atom_site_type_symbol
_atom_site_fract_x
_atom_site_fract_y
_atom_site_fract_z
Ti1 Ti 0.000 0.000 0.000
Sn1 Sn 0.500 0.500 0.500
Sb1 Sb 0.000 0.000 0.500
Te1 Te 0.000 0.500 0.000


Arrangement 2

# TiSnSbTe2, optimized geometry, DFT GGA-PBE
# **DOS at the Fermi energy**: 6.96 states/eV/f.u.
# **Total moment**: 0.31 μB per atom
data_TiSnSbTe2
_chemical_formula_sum 'Ti1 Sn1 Sb1 Te2'
_cell_length_a 5.649
_cell_length_b 5.649
_cell_length_c 5.563
_cell_angle_alpha 90.00
_cell_angle_beta 90.00
_cell_angle_gamma 90.00
_space_group_name_H-M_alt 'P 4/m m m'
_space_group_IT_number 123
_space_group_name_Hall '-P 4 2'
loop_
_atom_site_label
_atom_site_type_symbol
_atom_site_fract_x
_atom_site_fract_y
_atom_site_fract_z
Ti1 Ti 0.000 0.000 0.000
Sn1 Sn 0.500 0.500 0.500
Sb1 Sb 0.500 0.500 0.000
Te1 Te 0.000 0.500 0.500


Energy ordering: arrangement 1 at the bottom, the next structure 76.6 kJ/mol of atoms above.


Arrangement 1

# TiSnSb2Te, optimized geometry, DFT GGA-PBE
# **DOS at the Fermi energy**: 8.01 states/eV/f.u.
# **Total moment**: 0.02 μB per atom
data_TiSnSb2Te
_chemical_formula_sum 'Ti1 Sn1 Sb2 Te1'
_cell_length_a 5.541
_cell_length_b 5.541
_cell_length_c 5.613
_cell_angle_alpha 90.00
_cell_angle_beta 90.00
_cell_angle_gamma 90.00
_space_group_name_H-M_alt 'P 4/m m m'
_space_group_IT_number 123
_space_group_name_Hall '-P 4 2'
loop_
_atom_site_label
_atom_site_type_symbol
_atom_site_fract_x
_atom_site_fract_y
_atom_site_fract_z
Ti1 Ti 0.000 0.000 0.000
Sn1 Sn 0.500 0.500 0.500
Sb1 Sb 0.000 0.500 0.500
Te1 Te 0.500 0.500 0.000


Arrangement 2

# TiSnSb2Te, optimized geometry, DFT GGA-PBE
# **DOS at the Fermi energy**: 4.66 states/eV/f.u.
# **Total moment**: 0.00 μB per atom
data_TiSnSb2Te
_chemical_formula_sum 'Ti1 Sn1 Sb2 Te1'
_cell_length_a 5.333
_cell_length_b 5.333
_cell_length_c 5.292
_cell_angle_alpha 90.00
_cell_angle_beta 90.00
_cell_angle_gamma 90.00
_space_group_name_H-M_alt 'P 4/m m m'
_space_group_IT_number 123
_space_group_name_Hall '-P 4 2'
loop_
_atom_site_label
_atom_site_type_symbol
_atom_site_fract_x
_atom_site_fract_y
_atom_site_fract_z
Ti1 Ti 0.000 0.000 0.000
Sn1 Sn 0.500 0.500 0.500
Sb1 Sb 0.000 0.500 0.000
Te1 Te 0.000 0.000 0.500


Energy ordering: arrangement 2 at the bottom, the next structure 87.8 kJ/mol of atoms above.


Arrangement 1

# VSnSbTe2, optimized geometry, DFT GGA-PBE
# **DOS at the Fermi energy**: 5.02 states/eV/f.u.
# **Total moment**: 0.28 μB per atom
data_VSnSbTe2
_chemical_formula_sum 'V1 Sn1 Sb1 Te2'
_cell_length_a 5.275
_cell_length_b 5.275
_cell_length_c 5.225
_cell_angle_alpha 90.00
_cell_angle_beta 90.00
_cell_angle_gamma 90.00
_space_group_name_H-M_alt 'P 4/m m m'
_space_group_IT_number 123
_space_group_name_Hall '-P 4 2'
loop_
_atom_site_label
_atom_site_type_symbol
_atom_site_fract_x
_atom_site_fract_y
_atom_site_fract_z
V1 V 0.000 0.000 0.000
Sn1 Sn 0.500 0.500 0.500
Sb1 Sb 0.000 0.000 0.500
Te1 Te 0.000 0.500 0.000


Arrangement 2

# VSnSbTe2, optimized geometry, DFT GGA-PBE
# **DOS at the Fermi energy**: 9.88 states/eV/f.u.
# **Total moment**: 0.04 μB per atom
data_VSnSbTe2
_chemical_formula_sum 'V1 Sn1 Sb1 Te2'
_cell_length_a 5.633
_cell_length_b 5.633
_cell_length_c 5.567
_cell_angle_alpha 90.00
_cell_angle_beta 90.00
_cell_angle_gamma 90.00
_space_group_name_H-M_alt 'P 4/m m m'
_space_group_IT_number 123
_space_group_name_Hall '-P 4 2'
loop_
_atom_site_label
_atom_site_type_symbol
_atom_site_fract_x
_atom_site_fract_y
_atom_site_fract_z
V1 V 0.000 0.000 0.000
Sn1 Sn 0.500 0.500 0.500
Sb1 Sb 0.500 0.500 0.000
Te1 Te 0.000 0.500 0.500


Energy ordering: arrangement 1 at the bottom, the next structure 96.9 kJ/mol of atoms above.


Arrangement 1

# ZrSnSb2Te, optimized geometry, DFT GGA-PBE
# **DOS at the Fermi energy**: 5.41 states/eV/f.u.
# **Total moment**: 0.00 μB per atom
data_ZrSnSb2Te
_chemical_formula_sum 'Zr1 Sn1 Sb2 Te1'
_cell_length_a 5.496
_cell_length_b 5.496
_cell_length_c 5.561
_cell_angle_alpha 90.00
_cell_angle_beta 90.00
_cell_angle_gamma 90.00
_space_group_name_H-M_alt 'P 4/m m m'
_space_group_IT_number 123
_space_group_name_Hall '-P 4 2'
loop_
_atom_site_label
_atom_site_type_symbol
_atom_site_fract_x
_atom_site_fract_y
_atom_site_fract_z
Zr1 Zr 0.000 0.000 0.000
Sn1 Sn 0.500 0.500 0.500
Sb1 Sb 0.000 0.500 0.500
Te1 Te 0.500 0.500 0.000


Arrangement 2

# ZrSnSb2Te, optimized geometry, DFT GGA-PBE
# **DOS at the Fermi energy**: 4.02 states/eV/f.u.
# **Total moment**: 0.00 μB per atom
data_ZrSnSb2Te
_chemical_formula_sum 'Zr1 Sn1 Sb2 Te1'
_cell_length_a 5.595
_cell_length_b 5.595
_cell_length_c 5.524
_cell_angle_alpha 90.00
_cell_angle_beta 90.00
_cell_angle_gamma 90.00
_space_group_name_H-M_alt 'P 4/m m m'
_space_group_IT_number 123
_space_group_name_Hall '-P 4 2'
loop_
_atom_site_label
_atom_site_type_symbol
_atom_site_fract_x
_atom_site_fract_y
_atom_site_fract_z
Zr1 Zr 0.000 0.000 0.000
Sn1 Sn 0.500 0.500 0.500
Sb1 Sb 0.000 0.500 0.000
Te1 Te 0.000 0.000 0.500


Energy ordering: arrangement 2 at the bottom, the next structure 66.7 kJ/mol of atoms above.


Arrangement 1

# ThSnSb2, optimized geometry, DFT GGA-PBE
# **DOS at the Fermi energy**: 1.36 states/eV/f.u.
# **Total moment**: 0.00 μB per atom
data_ThSnSb2
_chemical_formula_sum 'Th1 Sn1 Sb2'
_cell_length_a 5.084
_cell_length_b 5.084
_cell_length_c 4.242
_cell_angle_alpha 90.00
_cell_angle_beta 90.00
_cell_angle_gamma 90.00
_space_group_name_H-M_alt 'P 4/m m m'
_space_group_IT_number 123
_space_group_name_Hall '-P 4 2'
loop_
_atom_site_label
_atom_site_type_symbol
_atom_site_fract_x
_atom_site_fract_y
_atom_site_fract_z
Th1 Th 0.000 0.000 0.000
Sn1 Sn 0.500 0.500 0.000
Sb1 Sb 0.000 0.500 0.500


Arrangement 2

# ThSnSb2, optimized geometry, DFT GGA-PBE
# **DOS at the Fermi energy**: 2.73 states/eV/f.u.
# **Total moment**: 0.00 μB per atom
data_ThSnSb2
_chemical_formula_sum 'Th1 Sn1 Sb2'
_cell_length_a 4.145
_cell_length_b 4.145
_cell_length_c 6.602
_cell_angle_alpha 90.00
_cell_angle_beta 90.00
_cell_angle_gamma 90.00
_space_group_name_H-M_alt 'P 4/m m m'
_space_group_IT_number 123
_space_group_name_Hall '-P 4 2'
loop_
_atom_site_label
_atom_site_type_symbol
_atom_site_fract_x
_atom_site_fract_y
_atom_site_fract_z
Th1 Th 0.000 0.000 0.000
Sn1 Sn 0.000 0.000 0.500
Sb1 Sb 0.500 0.500 0.243


Energy ordering: arrangement 1 at the bottom, the next structure 3.3 kJ/mol of atoms above.